Record 1
DFT (GGA-PBE) results for a relaxed structure of CaTl2I2F2.

Summary:
Fermi-level density of states   0.000 states/eV/atom
Total magnetization   0.00 μB per formula unit
ΔE_f (raw)   -184.8 kJ/mol of atoms
Symmetry   No. 139

a = 4.655 Å, b = 4.655 Å, c = 9.978 Å
α = 103.49°, β = 103.49°, γ = 90.00°
Positions (direct):
F: 0.000 0.500 0.000
F: 0.500 0.000 0.000
I: 0.828 0.828 0.655
I: 0.172 0.172 0.345
Tl: 0.380 0.380 0.759
Tl: 0.620 0.620 0.241
Ca: 0.000 0.000 0.000

***

Record 2
DFT (GGA-PBE) results for a relaxed structure of Ag2PbSe2.

Summary:
Excess energy over the best structure of this formula in the dataset   0.021 eV/atom
Fermi-level density of states   0.000 states/eV/atom
Total magnetization   0.00 μB per formula unit
ΔE_f (raw)   -17.5 kJ/mol of atoms
Symmetry   No. 139

a = 4.040 Å, b = 4.040 Å, c = 7.788 Å
α = 74.97°, β = 74.97°, γ = 90.00°
Positions (direct):
Se: 0.385 0.385 0.230
Se: 0.615 0.615 0.770
Ag: 0.750 0.250 0.500
Ag: 0.250 0.750 0.500
Pb: 0.000 0.000 0.000